La2AgMo | PBE-GGA | optimized geometry

Structure (extended XYZ):
```
4
Lattice="-3.000 2.178 -0.753 -0.705 -2.044 -3.105 -4.463 -4.722 4.121" Properties=species:S:1:pos:R:3 pbc="T T T"
La -4.066 -4.302 3.755
La -3.267 -1.429 -0.623
Ag -4.999 -3.262 0.977
Mo -2.531 -2.678 2.337
```

Theoretical density = 7.26 g cm⁻³
ΔH_f (0 K) = 0.3932 eV per atom



Na2CdAgTe | PBE-GGA | optimized geometry

Structure (extended XYZ):
```
5
Lattice="5.947 0.000 0.000 0.000 5.444 0.000 0.000 0.000 5.947" Properties=species:S:1:pos:R:3 pbc="T T T"
Cd 0.000 0.000 0.000
Na 2.973 0.000 0.000
Na 0.000 0.000 2.973
Ag 2.973 2.722 2.973
Te 0.000 2.722 0.000
```

Formation energy without anion corrections = 0.244 eV per atom
Theoretical density = 3.40 g cm⁻³



Sc5TiIn6 | PBE-GGA | optimized geometry

Structure (extended XYZ):
```
12
Lattice="4.323 -0.003 -1.212 -3.061 7.276 -2.623 -0.001 0.111 8.317" Properties=species:S:1:pos:R:3 pbc="T T T"
In -1.215 5.542 3.970
In 0.440 6.728 1.553
In 2.477 1.841 0.513
In 0.821 0.656 2.930
In -0.192 3.028 -0.693
In 1.454 4.355 5.176
Sc 1.670 1.259 5.956
Sc -1.017 2.491 4.683
Sc -0.408 6.124 -1.473
Sc 0.631 3.692 2.241
Sc -2.044 4.896 1.011
Ti 0.000 0.000 0.000
```

Theoretical density = 6.07 g cm⁻³
ΔH_f (0 K) = -0.3790 eV per atom



no.,uncorrected energy (eV per atom)
1,-5.49
2,-1.67
3,-5.04